(1)
Computed, not measured: Sr2Gd2TlNi2O9 after structural relaxation at the PBE+U level of DFT.

Cell and atoms, written as POSCAR:
```
Sr2Gd2TlNi2O9
1.0
15.064 0.008 -0.008
14.578 3.779 -0.009
0.486 0.029 3.771
Sr O Ni Gd Tl
2 9 2 2 1
Direct
0.420 0.410 0.590
0.590 0.580 0.420
0.924 0.933 0.067
0.781 0.776 0.224
0.157 0.146 0.353
0.353 0.344 0.157
0.656 0.647 0.854
0.224 0.219 0.781
0.854 0.843 0.656
0.067 0.076 0.924
0.470 0.530 0.470
0.153 0.145 0.855
0.855 0.847 0.153
0.709 0.699 0.301
0.301 0.291 0.709
0.036 0.964 0.036
```

The calculation puts the density of states at the Fermi level at 0.0889 states/eV per atom. Its energy is -7.360 eV/atom. The volume comes out at 13.39 Å³/atom.

(2)
Computed, not measured: Fe2SiO2 after structural relaxation at the PBE+U level of DFT.

Cell and atoms, written as POSCAR:
```
Fe2SiO2
1.0
4.386 0.000 0.000
0.000 4.386 0.000
2.193 2.193 3.323
Si O Fe
1 2 2
Direct
0.000 0.000 0.000
0.736 0.736 0.527
0.264 0.264 0.473
0.250 0.750 0.500
0.750 0.250 0.500
```

Its excess energy over the best structure of this formula in the dataset is 0.0 kJ/mol of formula units. The calculation puts the density of states at the Fermi level at 1.0902 states/eV per atom. Its energy is -5.669 eV/atom. The volume comes out at 12.79 Å³/atom.